Entry from OQMD via LeMat-Bulk: a relaxed ErScNO crystal (GGA-PBE).

Cell: 3.307 3.307 4.571 Å, 90.00 90.00 90.00°
Fractional positions:
Er1 0.000 0.000 0.000
Sc1 0.500 0.500 0.500
N1 0.500 0.500 0.000
O1 0.000 0.000 0.500

For the energy above the most stable polymorph in this dataset, the calculation gives 0.00 eV per formula unit. As for the theoretical density: 8.0 Mg/m³.